Entry 1:
AgAuSe2 GGA-PBE relaxed; total DFT energy (no corrections) = -2.984 eV/atom; V = 21.12 A^3/atom
1.0
2.914 0.000 0.000
-1.457 2.524 0.000
0.000 0.000 34.454
Ag Au Se
3 3 6
Cartesian
0.000 0.000 0.000
0.000 1.683 22.969
1.457 0.841 11.485
0.000 0.000 17.227
0.000 1.683 5.742
1.457 0.841 28.712
0.000 0.000 2.587
0.000 0.000 31.868
0.000 1.683 20.383
0.000 1.683 25.556
1.457 0.841 8.898
1.457 0.841 14.071

=====

Entry 2:
Ag4AuSe3 GGA-PBE relaxed; total DFT energy (no corrections) = -3.137 eV/atom; V = 23.87 A^3/atom
1.0
6.532 -3.380 0.000
6.532 3.380 0.000
-2.603 0.000 8.649
Ag Au Se
8 2 6
Cartesian
1.364 1.066 3.772
5.230 2.496 4.325
3.840 1.600 6.988
0.062 -1.066 8.096
7.098 1.373 1.208
5.141 -1.600 2.663
5.797 -1.373 5.532
6.532 -2.496 0.000
7.846 1.813 5.368
9.147 -1.813 1.043
1.425 0.597 6.591
2.726 -0.597 2.267
6.811 0.223 3.677
5.509 -0.223 8.001
10.163 0.571 5.927
11.464 -0.571 1.603

=====

Entry 3:
AgAuSe2 GGA-PBE relaxed; total DFT energy (no corrections) = -3.202 eV/atom; V = 21.67 A^3/atom
1.0
2.970 0.000 0.000
0.000 3.811 0.000
-0.412 0.000 7.658
Ag Au Se
1 1 2
Cartesian
0.000 0.000 0.000
-0.206 0.000 3.829
-0.184 1.906 5.663
2.743 1.906 1.995

=====

Entry 4:
AgAu2Se2 GGA-PBE relaxed; total DFT energy (no corrections) = -2.993 eV/atom; V = 21.79 A^3/atom
1.0
3.955 0.000 0.000
0.000 3.955 0.000
0.000 0.000 13.933
Ag Au Se
2 4 4
Cartesian
0.000 0.000 0.000
1.977 1.977 6.966
0.000 1.977 3.483
0.000 1.977 10.450
1.977 0.000 3.483
1.977 0.000 10.450
0.000 0.000 5.484
0.000 0.000 8.449
1.977 1.977 1.482
1.977 1.977 12.451

=====

Entry 5:
Ag2AuSe2 GGA-PBE relaxed; total DFT energy (no corrections) = -2.868 eV/atom; V = 21.62 A^3/atom
1.0
3.906 0.000 0.000
0.000 3.906 0.000
0.000 0.000 14.168
Ag Au Se
4 2 4
Cartesian
0.000 1.953 3.542
0.000 1.953 10.626
1.953 0.000 3.542
1.953 0.000 10.626
0.000 0.000 0.000
1.953 1.953 7.084
0.000 0.000 5.508
0.000 0.000 8.660
1.953 1.953 1.576
1.953 1.953 12.592

=====

Entry 6:
AgAuSe2 GGA-PBE relaxed; total DFT energy (no corrections) = -3.086 eV/atom; V = 21.37 A^3/atom
1.0
2.849 0.000 0.000
0.000 2.849 0.000
0.000 0.000 10.532
Ag Au Se
1 1 2
Cartesian
0.000 0.000 0.000
1.424 1.424 2.185
0.000 0.000 4.566
1.424 1.424 8.282

=====

Entry 7:
AgAuSe2 GGA-PBE relaxed; total DFT energy (no corrections) = -3.268 eV/atom; V = 23.71 A^3/atom
1.0
9.000 0.000 0.000
0.000 2.923 0.000
-0.076 0.000 7.211
Ag Au Se
2 2 4
Cartesian
0.000 0.000 0.000
4.500 1.462 0.000
-0.038 1.462 3.605
4.462 0.000 3.605
1.525 1.462 1.694
2.899 0.000 5.517
6.025 0.000 1.694
7.399 1.462 5.517

=====

Entry 8:
AgAuSe2 GGA-PBE relaxed; total DFT energy (no corrections) = -3.270 eV/atom; V = 24.22 A^3/atom
1.0
3.891 0.000 0.000
0.000 4.498 0.000
0.000 0.000 11.071
Ag Au Se
2 2 4
Cartesian
0.000 0.000 0.000
1.946 2.249 5.535
0.000 0.000 5.535
1.946 2.249 0.000
0.000 2.249 1.693
0.000 2.249 9.378
1.946 0.000 3.842
1.946 0.000 7.228

=====

Entry 9:
Ag6AuSe3 GGA-PBE relaxed; total DFT energy (no corrections) = -3.065 eV/atom; V = 20.50 A^3/atom
1.0
5.199 -5.103 0.000
5.199 5.103 0.000
0.000 0.000 7.726
Ag Au Se
12 2 6
Cartesian
2.462 2.077 5.485
5.199 4.130 3.863
5.199 3.176 7.622
3.719 0.638 0.034
3.719 -0.638 3.897
2.462 -2.077 1.622
7.936 2.077 5.485
6.679 0.638 0.034
6.679 -0.638 3.897
5.199 -3.176 3.760
5.199 -4.130 0.000
7.936 -2.077 1.622
5.199 1.689 2.273
5.199 -1.689 6.136
1.868 0.497 2.262
1.868 -0.497 6.125
5.199 1.574 4.854
5.199 -1.574 0.991
8.530 0.497 2.262
8.530 -0.497 6.125

=====

Entry 10:
AgSnAuSe GGA-PBE relaxed; total DFT energy (no corrections) = -3.492 eV/atom; V = 23.94 A^3/atom
1.0
2.105 1.215 12.479
-2.105 1.215 12.479
0.000 -2.430 12.479
Ag Sn Au Se
2 2 2 2
Cartesian
0.000 0.000 7.016
0.000 0.000 30.423
0.000 0.000 14.820
0.000 0.000 22.618
0.000 0.000 11.646
0.000 0.000 25.792
0.000 0.000 4.173
0.000 0.000 33.265

=====

Entry 11:
TaAgAuSe2 GGA-PBE relaxed; total DFT energy (no corrections) = -4.803 eV/atom; V = 26.02 A^3/atom
1.0
4.970 0.000 0.000
0.000 4.970 0.000
0.000 0.000 5.267
Ta Ag Au Se
1 1 1 2
Cartesian
0.000 0.000 0.000
2.485 2.485 2.634
0.000 0.000 2.634
0.000 2.485 0.000
2.485 0.000 0.000

=====

Entry 12:
Ta2AgAuSe GGA-PBE relaxed; total DFT energy (no corrections) = -4.977 eV/atom; V = 25.55 A^3/atom
1.0
5.012 0.000 0.000
0.000 5.012 0.000
0.000 0.000 5.084
Ta Ag Au Se
2 1 1 1
Cartesian
0.000 2.506 0.000
2.506 0.000 0.000
0.000 0.000 2.542
2.506 2.506 0.000
2.506 2.506 2.542